Entry 1:
An optimized crystal structure of KY3I. Source: Alexandria via LeMat-Bulk, functional PBEsol.

Unit cell a=5.7518 b=5.7518 c=5.7518 alpha=90.00 beta=90.00 gamma=90.00
Element x y z (fractional)
K 0.0000 0.0000 0.0000
Y 0.0000 0.5000 0.5000
Y 0.5000 0.0000 0.5000
Y 0.5000 0.5000 0.0000
I 0.5000 0.5000 0.5000

- Space-group type: Pm-3m
- Formation energy (no corrections): 0.292 eV per atom

=====

Entry 2:
An optimized crystal structure of K2Zn2I. Source: Alexandria via LeMat-Bulk, functional PBEsol.

Unit cell a=6.6244 b=6.6244 c=6.6244 alpha=124.45 beta=124.45 gamma=82.45
Element x y z (fractional)
K 0.2500 0.7500 0.5000
K 0.7500 0.2500 0.5000
Zn 0.1238 0.1238 0.0000
Zn 0.8762 0.8762 0.0000
I 0.5000 0.5000 0.0000

- Space-group type: I4/mmm
- Formation energy (no corrections): -0.052 eV per atom

=====

Entry 3:
An optimized crystal structure of K2ZrI. Source: Alexandria via LeMat-Bulk, functional PBEsol.

Unit cell a=6.1458 b=6.1458 c=6.1458 alpha=60.00 beta=60.00 gamma=60.00
Element x y z (fractional)
K 0.2500 0.2500 0.2500
K 0.7500 0.7500 0.7500
Zr 0.0000 0.0000 0.0000
I 0.5000 0.5000 0.5000

- Space-group type: Fm-3m
- Formation energy (no corrections): 0.601 eV per atom

=====

Entry 4:
An optimized crystal structure of KZr2I. Source: Alexandria via LeMat-Bulk, functional PBEsol.

Unit cell a=5.1533 b=5.1533 c=5.1533 alpha=60.00 beta=60.00 gamma=60.00
Element x y z (fractional)
K 0.0000 0.0000 0.0000
Zr 0.2500 0.2500 0.2500
Zr 0.7500 0.7500 0.7500
I 0.5000 0.5000 0.5000

- Space-group type: Fm-3m
- Formation energy (no corrections): 0.909 eV per atom

=====

Entry 5:
An optimized crystal structure of La2I5. Source: Alexandria via LeMat-Bulk, functional PBEsol.

Unit cell a=8.5353 b=4.3490 c=14.5218 alpha=90.00 beta=90.09 gamma=90.00
Element x y z (fractional)
La 0.0756 0.2500 0.1565
La 0.4220 0.7500 0.3416
La 0.5780 0.2500 0.6584
La 0.9244 0.7500 0.8435
I 0.1467 0.2500 0.3754
I 0.1677 0.2500 0.7720
I 0.1962 0.7500 0.0083
I 0.3441 0.7500 0.5677
I 0.4512 0.2500 0.1785
I 0.5488 0.7500 0.8215
I 0.6559 0.2500 0.4323
I 0.8038 0.2500 0.9917
I 0.8323 0.7500 0.2280
I 0.8533 0.7500 0.6246

- Space-group type: P2_1/m
- Formation energy (no corrections): -1.488 eV per atom

=====

Entry 6:
An optimized crystal structure of LiLaZr2I. Source: Alexandria via LeMat-Bulk, functional PBEsol.

Unit cell a=5.1289 b=5.1289 c=5.4872 alpha=90.00 beta=90.00 gamma=90.00
Element x y z (fractional)
Li 0.0000 0.0000 0.0000
La 0.0000 0.0000 0.5000
Zr 0.0000 0.5000 0.5000
Zr 0.5000 0.0000 0.5000
I 0.5000 0.5000 0.0000

- Space-group type: P4/mmm
- Formation energy (no corrections): 1.121 eV per atom

=====

Entry 7:
An optimized crystal structure of LaMg3I. Source: Alexandria via LeMat-Bulk, functional PBEsol.

Unit cell a=5.5677 b=5.5677 c=5.5677 alpha=90.00 beta=90.00 gamma=90.00
Element x y z (fractional)
La 0.0000 0.0000 0.0000
Mg 0.0000 0.5000 0.5000
Mg 0.5000 0.0000 0.5000
Mg 0.5000 0.5000 0.0000
I 0.5000 0.5000 0.5000

- Space-group type: Pm-3m
- Formation energy (no corrections): 0.489 eV per atom

=====

Entry 8:
An optimized crystal structure of LaMgMnI2. Source: Alexandria via LeMat-Bulk, functional PBEsol.

Unit cell a=5.3595 b=5.3595 c=4.9196 alpha=90.00 beta=90.00 gamma=90.00
Element x y z (fractional)
La 0.0000 0.0000 0.0000
Mg 0.5000 0.5000 0.0000
Mn 0.0000 0.0000 0.5000
I 0.0000 0.5000 0.5000
I 0.5000 0.0000 0.5000

- Space-group type: P4/mmm
- Formation energy (no corrections): -0.018 eV per atom